Record 1
The following is a DFT calculation (PBE) of crystalline Pr3Sn3Mo2N12 at its relaxed geometry.

Unit cell a=11.3692 b=11.3692 c=11.3692 alpha=109.47 beta=109.47 gamma=109.47
Closest atoms and distances in Å follow each position.
Atoms (fractional coordinates):
Pr  0.1250  0.2500  0.3750  8 N 2.58-2.59
Pr  0.1250  0.3750  0.7500  8 N 2.58-2.59
Pr  0.2500  0.3750  0.1250  8 N 2.58-2.59
Pr  0.2500  0.8750  0.6250  8 N 2.58-2.59
Pr  0.3750  0.1250  0.2500  8 N 2.58-2.59
Pr  0.3750  0.7500  0.1250  8 N 2.58-2.59
Pr  0.6250  0.2500  0.8750  8 N 2.58-2.59
Pr  0.6250  0.8750  0.7500  8 N 2.58-2.59
Pr  0.7500  0.1250  0.3750  8 N 2.58-2.59
Pr  0.7500  0.6250  0.8750  8 N 2.58-2.59
Pr  0.8750  0.6250  0.2500  8 N 2.58-2.59
Pr  0.8750  0.7500  0.6250  8 N 2.58-2.59
Sn  0.1250  0.7500  0.8750  4 N 2.04
Sn  0.1250  0.8750  0.2500  4 N 2.04
Sn  0.2500  0.1250  0.8750  4 N 2.04
Sn  0.2500  0.6250  0.3750  4 N 2.04
Sn  0.3750  0.2500  0.6250  4 N 2.04
Sn  0.3750  0.6250  0.7500  4 N 2.04
Sn  0.6250  0.3750  0.2500  4 N 2.04
Sn  0.6250  0.7500  0.3750  4 N 2.04
Sn  0.7500  0.3750  0.6250  4 N 2.04
Sn  0.7500  0.8750  0.1250  4 N 2.04
Sn  0.8750  0.1250  0.7500  4 N 2.04
Sn  0.8750  0.2500  0.1250  4 N 2.04
Mo  0.0000  0.0000  0.0000  6 N 2.03
Mo  0.0000  0.0000  0.5000  6 N 2.03
Mo  0.0000  0.5000  0.0000  6 N 2.03
Mo  0.0000  0.5000  0.5000  6 N 2.03
Mo  0.5000  0.0000  0.0000  6 N 2.03
Mo  0.5000  0.0000  0.5000  6 N 2.03
Mo  0.5000  0.5000  0.0000  6 N 2.03
Mo  0.5000  0.5000  0.5000  6 N 2.03
N  0.0271  0.1974  0.1127  1 Mo 2.03, 1 Sn 2.04
N  0.0271  0.3297  0.9144  1 Mo 2.03, 1 Sn 2.04
N  0.0847  0.6974  0.6703  1 Mo 2.03, 1 Sn 2.04
N  0.0847  0.8873  0.4144  1 Mo 2.03, 1 Sn 2.04
N  0.0856  0.6127  0.4153  1 Mo 2.03, 1 Sn 2.04
N  0.0856  0.9729  0.6703  1 Mo 2.03, 1 Sn 2.04
N  0.1127  0.0271  0.1974  1 Mo 2.03, 1 Sn 2.04
N  0.1127  0.5856  0.9153  1 Mo 2.03, 1 Sn 2.04
N  0.1703  0.1974  0.5847  1 Mo 2.03, 1 Sn 2.04
N  0.1703  0.4729  0.5856  1 Mo 2.03, 1 Sn 2.04
N  0.1974  0.1127  0.0271  1 Mo 2.03, 1 Sn 2.04
N  0.1974  0.5847  0.1703  1 Mo 2.03, 1 Sn 2.04
N  0.3026  0.3297  0.9153  1 Mo 2.03, 1 Sn 2.04
N  0.3026  0.4729  0.3873  1 Mo 2.03, 1 Sn 2.04
N  0.3297  0.9144  0.0271  1 Mo 2.03, 1 Sn 2.04
N  0.3297  0.9153  0.3026  1 Mo 2.03, 1 Sn 2.04
N  0.3873  0.3026  0.4729  1 Mo 2.03, 1 Sn 2.04
N  0.3873  0.5847  0.9144  1 Mo 2.03, 1 Sn 2.04
N  0.4144  0.0847  0.8873  1 Mo 2.03, 1 Sn 2.04
N  0.4144  0.8297  0.5271  1 Mo 2.03, 1 Sn 2.04
N  0.4153  0.0856  0.6127  1 Mo 2.03, 1 Sn 2.04
N  0.4153  0.8297  0.8026  1 Mo 2.03, 1 Sn 2.04
N  0.4729  0.3873  0.3026  1 Mo 2.03, 1 Sn 2.04
N  0.4729  0.5856  0.1703  1 Mo 2.03, 1 Sn 2.04
N  0.5271  0.4144  0.8297  1 Mo 2.03, 1 Sn 2.04
N  0.5271  0.6127  0.6974  1 Mo 2.03, 1 Sn 2.04
N  0.5847  0.1703  0.1974  1 Mo 2.03, 1 Sn 2.04
N  0.5847  0.9144  0.3873  1 Mo 2.03, 1 Sn 2.04
N  0.5856  0.1703  0.4729  1 Mo 2.03, 1 Sn 2.04
N  0.5856  0.9153  0.1127  1 Mo 2.03, 1 Sn 2.04
N  0.6127  0.4153  0.0856  1 Mo 2.03, 1 Sn 2.04
N  0.6127  0.6974  0.5271  1 Mo 2.03, 1 Sn 2.04
N  0.6703  0.0847  0.6974  1 Mo 2.03, 1 Sn 2.04
N  0.6703  0.0856  0.9729  1 Mo 2.03, 1 Sn 2.04
N  0.6974  0.5271  0.6127  1 Mo 2.03, 1 Sn 2.04
N  0.6974  0.6703  0.0847  1 Mo 2.03, 1 Sn 2.04
N  0.8026  0.4153  0.8297  1 Mo 2.03, 1 Sn 2.04
N  0.8026  0.8873  0.9729  1 Mo 2.03, 1 Sn 2.04
N  0.8297  0.5271  0.4144  1 Mo 2.03, 1 Sn 2.04
N  0.8297  0.8026  0.4153  1 Mo 2.03, 1 Sn 2.04
N  0.8873  0.4144  0.0847  1 Mo 2.03, 1 Sn 2.04
N  0.8873  0.9729  0.8026  1 Mo 2.03, 1 Sn 2.04
N  0.9144  0.0271  0.3297  1 Mo 2.03, 1 Sn 2.04
N  0.9144  0.3873  0.5847  1 Mo 2.03, 1 Sn 2.04
N  0.9153  0.1127  0.5856  1 Mo 2.03, 1 Sn 2.04
N  0.9153  0.3026  0.3297  1 Mo 2.03, 1 Sn 2.04
N  0.9729  0.6703  0.0856  1 Mo 2.03, 1 Sn 2.04
N  0.9729  0.8026  0.8873  1 Mo 2.03, 1 Sn 2.04

Record 2
The following is a DFT calculation (PBE) of crystalline HfCdCoSi at its relaxed geometry.

Unit cell a=4.4934 b=4.4934 c=4.4934 alpha=60.00 beta=60.00 gamma=60.00
Closest atoms and distances in Å follow each position.
Atoms (fractional coordinates):
Hf  0.0000  0.0000  0.0000  4 Cd 2.75, 4 Co 2.75
Cd  0.2500  0.2500  0.2500  4 Hf 2.75, 4 Si 2.75
Co  0.7500  0.7500  0.7500  4 Si 2.75, 4 Hf 2.75
Si  0.5000  0.5000  0.5000  4 Co 2.75, 4 Cd 2.75

Summary:
- Relative energy among the computed polymorphs: 0.039 eV per atom

no.,final energy (eV per cell)
1,-600.69
2,-22.82